Below is crystalline TmSbBr at its relaxed geometry, with properties calculated at the GGA-PBE level.

```
data_TmSbBr
_space_group_name_H-M_alt 'P -1'
_space_group_IT_number 2
_cell_length_a 4.018
_cell_length_b 5.817
_cell_length_c 9.969
_cell_angle_alpha 95.48
_cell_angle_beta 101.51
_cell_angle_gamma 110.18
loop_
_space_group_symop_operation_xyz
'x,y,z'
'-x,-y,-z'
loop_
_atom_site_label
_atom_site_type_symbol
_atom_site_fract_x
_atom_site_fract_y
_atom_site_fract_z
Tm1 Tm 0.032 0.207 0.355
Sb1 Sb 0.337 0.786 0.389
Br1 Br 0.475 0.282 0.164
```

Values from the calculation:
For the formation energy (no corrections), the calculation gives -1.12 eV/atom. Its total energy is -4.54 eV per atom. Its total magnetization is 0.00 μB/f.u. The value obtained for the distance to the lowest polymorph of the same formula is 0.0 meV per atom.